i | # ZnHgSb | Alexandria via LeMat-Bulk | GGA-PBEsol | relaxed
# Fermi-level density of states = 1.844 states/eV/f.u.
data_ZnHgSb
_symmetry_space_group_name_H-M 'F -4 3 m'
_symmetry_Int_Tables_number 216
_symmetry_space_group_name_Hall 'F -4 2 3'
_cell_length_a 6.724
_cell_length_b 6.724
_cell_length_c 6.724
_cell_angle_alpha 90.00
_cell_angle_beta 90.00
_cell_angle_gamma 90.00
loop_
_atom_site_label
_atom_site_type_symbol
_atom_site_fract_x
_atom_site_fract_y
_atom_site_fract_z
Zn1 Zn 0.000 0.000 0.000
Hg1 Hg 0.000 0.000 0.500
Sb1 Sb 0.250 0.250 0.750

ii | # ZnHgSb | Alexandria via LeMat-Bulk | GGA-PBEsol | relaxed
# Fermi-level density of states = 1.270 states/eV/f.u.
data_ZnHgSb
_symmetry_space_group_name_H-M 'F m m 2'
_symmetry_Int_Tables_number 42
_symmetry_space_group_name_Hall 'F 2 -2'
_cell_length_a 4.002
_cell_length_b 5.222
_cell_length_c 12.477
_cell_angle_alpha 90.00
_cell_angle_beta 90.00
_cell_angle_gamma 90.00
loop_
_atom_site_label
_atom_site_type_symbol
_atom_site_fract_x
_atom_site_fract_y
_atom_site_fract_z
Zn1 Zn 0.000 0.000 0.000
Hg1 Hg 0.000 0.000 0.648
Sb1 Sb 0.000 0.000 0.342

Ordering by calculated energy gives the sequence ii, i, with the first entry being the most stable.

i | # ZnHg3Sb | Alexandria via LeMat-Bulk | GGA-PBEsol | relaxed
# Fermi-level density of states = 1.377 states/eV/f.u.
data_ZnHg3Sb
_symmetry_space_group_name_H-M 'P m -3 m'
_symmetry_Int_Tables_number 221
_symmetry_space_group_name_Hall '-P 4 2 3'
_cell_length_a 5.604
_cell_length_b 5.604
_cell_length_c 5.604
_cell_angle_alpha 90.00
_cell_angle_beta 90.00
_cell_angle_gamma 90.00
loop_
_atom_site_label
_atom_site_type_symbol
_atom_site_fract_x
_atom_site_fract_y
_atom_site_fract_z
Zn1 Zn 0.000 0.000 0.000
Hg1 Hg 0.000 0.500 0.500
Sb1 Sb 0.500 0.500 0.500

ii | # ZnHg3Sb | Alexandria via LeMat-Bulk | GGA-PBEsol | relaxed
# Fermi-level density of states = 3.614 states/eV/f.u.
data_ZnHg3Sb
_symmetry_space_group_name_H-M 'P m -3 m'
_symmetry_Int_Tables_number 221
_symmetry_space_group_name_Hall '-P 4 2 3'
_cell_length_a 5.040
_cell_length_b 5.040
_cell_length_c 5.040
_cell_angle_alpha 90.00
_cell_angle_beta 90.00
_cell_angle_gamma 90.00
loop_
_atom_site_label
_atom_site_type_symbol
_atom_site_fract_x
_atom_site_fract_y
_atom_site_fract_z
Zn1 Zn 0.000 0.000 0.000
Hg1 Hg 0.000 0.000 0.500
Sb1 Sb 0.500 0.500 0.500

Ordering by calculated energy gives the sequence ii, i, with the first entry being the most stable.

i | # ScTcHg2 | Alexandria via LeMat-Bulk | GGA-PBEsol | relaxed
# Fermi-level density of states = 2.821 states/eV/f.u.
data_ScTcHg2
_symmetry_space_group_name_H-M 'I -4 m 2'
_symmetry_Int_Tables_number 119
_symmetry_space_group_name_Hall 'I -4 -2'
_cell_length_a 4.086
_cell_length_b 4.086
_cell_length_c 8.672
_cell_angle_alpha 90.00
_cell_angle_beta 90.00
_cell_angle_gamma 90.00
loop_
_atom_site_label
_atom_site_type_symbol
_atom_site_fract_x
_atom_site_fract_y
_atom_site_fract_z
Sc1 Sc 0.000 0.000 0.000
Tc1 Tc 0.000 0.500 0.250
Hg1 Hg 0.000 0.000 0.500
Hg2 Hg 0.000 0.500 0.750

ii | # ScTcHg2 | Alexandria via LeMat-Bulk | GGA-PBEsol | relaxed
# Fermi-level density of states = 3.882 states/eV/f.u.
data_ScTcHg2
_symmetry_space_group_name_H-M 'F m -3 m'
_symmetry_Int_Tables_number 225
_symmetry_space_group_name_Hall '-F 4 2 3'
_cell_length_a 6.626
_cell_length_b 6.626
_cell_length_c 6.626
_cell_angle_alpha 90.00
_cell_angle_beta 90.00
_cell_angle_gamma 90.00
loop_
_atom_site_label
_atom_site_type_symbol
_atom_site_fract_x
_atom_site_fract_y
_atom_site_fract_z
Sc1 Sc 0.000 0.000 0.000
Tc1 Tc 0.000 0.000 0.500
Hg1 Hg 0.250 0.250 0.250

Ordering by calculated energy gives the sequence i, ii, with the first entry being the most stable.

i | # ScTcHg2 | Alexandria via LeMat-Bulk | GGA-PBEsol | relaxed
# Fermi-level density of states = 2.542 states/eV/f.u.
data_ScTcHg2
_symmetry_space_group_name_H-M 'F -4 3 m'
_symmetry_Int_Tables_number 216
_symmetry_space_group_name_Hall 'F -4 2 3'
_cell_length_a 6.635
_cell_length_b 6.635
_cell_length_c 6.635
_cell_angle_alpha 90.00
_cell_angle_beta 90.00
_cell_angle_gamma 90.00
loop_
_atom_site_label
_atom_site_type_symbol
_atom_site_fract_x
_atom_site_fract_y
_atom_site_fract_z
Sc1 Sc 0.000 0.000 0.000
Tc1 Tc 0.250 0.250 0.250
Hg1 Hg 0.000 0.000 0.500
Hg2 Hg 0.250 0.250 0.750

ii | # ScTcHg2 | Alexandria via LeMat-Bulk | GGA-PBEsol | relaxed
# Fermi-level density of states = 3.465 states/eV/f.u.
data_ScTcHg2
_symmetry_space_group_name_H-M 'I 4/m m m'
_symmetry_Int_Tables_number 139
_symmetry_space_group_name_Hall '-I 4 2'
_cell_length_a 4.074
_cell_length_b 4.074
_cell_length_c 8.623
_cell_angle_alpha 90.00
_cell_angle_beta 90.00
_cell_angle_gamma 90.00
loop_
_atom_site_label
_atom_site_type_symbol
_atom_site_fract_x
_atom_site_fract_y
_atom_site_fract_z
Sc1 Sc 0.000 0.000 0.000
Tc1 Tc 0.000 0.000 0.500
Hg1 Hg 0.000 0.500 0.250

Ordering by calculated energy gives the sequence ii, i, with the first entry being the most stable.

i | # ScTcHg2 | Alexandria via LeMat-Bulk | GGA-PBEsol | relaxed
# Fermi-level density of states = 4.286 states/eV/f.u.
data_ScTcHg2
_symmetry_space_group_name_H-M 'P 4/m m m'
_symmetry_Int_Tables_number 123
_symmetry_space_group_name_Hall '-P 4 2'
_cell_length_a 2.989
_cell_length_b 2.989
_cell_length_c 8.133
_cell_angle_alpha 90.00
_cell_angle_beta 90.00
_cell_angle_gamma 90.00
loop_
_atom_site_label
_atom_site_type_symbol
_atom_site_fract_x
_atom_site_fract_y
_atom_site_fract_z
Sc1 Sc 0.000 0.000 0.000
Tc1 Tc 0.000 0.000 0.500
Hg1 Hg 0.500 0.500 0.260

ii | # ScTcHg2 | Alexandria via LeMat-Bulk | GGA-PBEsol | relaxed
# Fermi-level density of states = 3.161 states/eV/f.u.
data_ScTcHg2
_symmetry_space_group_name_H-M 'C m m 2'
_symmetry_Int_Tables_number 35
_symmetry_space_group_name_Hall 'C 2 -2'
_cell_length_a 3.500
_cell_length_b 4.732
_cell_length_c 9.085
_cell_angle_alpha 90.00
_cell_angle_beta 90.00
_cell_angle_gamma 90.00
loop_
_atom_site_label
_atom_site_type_symbol
_atom_site_fract_x
_atom_site_fract_y
_atom_site_fract_z
Sc1 Sc 0.000 0.000 0.000
Tc1 Tc 0.000 0.500 0.214
Hg1 Hg 0.000 0.000 0.457
Hg2 Hg 0.000 0.500 0.735

Ordering by calculated energy gives the sequence ii, i, with the first entry being the most stable.

i | # Sc2HgTe | Alexandria via LeMat-Bulk | GGA-PBEsol | relaxed
# Fermi-level density of states = 5.540 states/eV/f.u.
data_Sc2HgTe
_symmetry_space_group_name_H-M 'F m -3 m'
_symmetry_Int_Tables_number 225
_symmetry_space_group_name_Hall '-F 4 2 3'
_cell_length_a 7.040
_cell_length_b 7.040
_cell_length_c 7.040
_cell_angle_alpha 90.00
_cell_angle_beta 90.00
_cell_angle_gamma 90.00
loop_
_atom_site_label
_atom_site_type_symbol
_atom_site_fract_x
_atom_site_fract_y
_atom_site_fract_z
Sc1 Sc 0.250 0.250 0.250
Hg1 Hg 0.000 0.000 0.000
Te1 Te 0.000 0.000 0.500

ii | # Sc2HgTe | Alexandria via LeMat-Bulk | GGA-PBEsol | relaxed
# Fermi-level density of states = 3.740 states/eV/f.u.
data_Sc2HgTe
_symmetry_space_group_name_H-M 'R -3 m'
_symmetry_Int_Tables_number 166
_symmetry_space_group_name_Hall '-R 3 2"'
_cell_length_a 3.6811
_cell_length_b 3.6811
_cell_length_c 28.2424
_cell_angle_alpha 90.00
_cell_angle_beta 90.00
_cell_angle_gamma 120.00
loop_
_atom_site_label
_atom_site_type_symbol
_atom_site_fract_x
_atom_site_fract_y
_atom_site_fract_z
Sc1 Sc 0.0000 0.0000 0.1007
Hg1 Hg 0.0000 0.0000 0.0000
Te1 Te 0.0000 0.0000 0.5000

iii | # Sc2HgTe | Alexandria via LeMat-Bulk | GGA-PBEsol | relaxed
# Fermi-level density of states = 3.090 states/eV/f.u.
data_Sc2HgTe
_symmetry_space_group_name_H-M 'P 4 m m'
_symmetry_Int_Tables_number 99
_symmetry_space_group_name_Hall 'P 4 -2'
_cell_length_a 4.058
_cell_length_b 4.058
_cell_length_c 5.788
_cell_angle_alpha 90.00
_cell_angle_beta 90.00
_cell_angle_gamma 90.00
loop_
_atom_site_label
_atom_site_type_symbol
_atom_site_fract_x
_atom_site_fract_y
_atom_site_fract_z
Sc1 Sc 0.000 0.000 0.000
Sc2 Sc 0.500 0.500 0.499
Hg1 Hg 0.000 0.000 0.500
Te1 Te 0.500 0.500 0.999

Ordering by calculated energy gives the sequence iii, i, ii, with the first entry being the most stable.